--- a ---
# Y3HfSe

An optimized crystal structure of Y3HfSe (PBE, the Alexandria database).

a = 5.346 Å, b = 5.346 Å, c = 5.346 Å
α = 90.00°, β = 90.00°, γ = 90.00°
Fractional positions:
Hf1 0.500 0.500 0.500
Se1 0.000 0.000 0.000
Y1 0.500 0.000 0.000
Y2 0.000 0.000 0.500
Y3 0.000 0.500 0.000

**N(E_F)**: 9.1 states/eV per cell
**Total moment**: 0.98 μB/f.u.

--- b ---
# Y3HfSe

An optimized crystal structure of Y3HfSe (PBE, the Alexandria database).

a = 5.535 Å, b = 5.535 Å, c = 5.535 Å
α = 90.00°, β = 90.00°, γ = 90.00°
Fractional positions:
Y1 0.000 0.500 0.000
Y2 0.000 0.000 0.500
Se1 0.500 0.500 0.500
Hf1 0.000 0.000 0.000
Y3 0.500 0.000 0.000

**N(E_F)**: 4.3 states/eV per cell
**Total moment**: 0.00 μB/f.u.

Calculated relative energies: a 0; b 762, given in meV/atom